1.
# K2NbCl7 (PBE-GGA, optimized geometry)
data_K2NbCl7
_cell_length_a 16.634
_cell_length_b 8.437
_cell_length_c 11.457
_cell_angle_alpha 90.00
_cell_angle_beta 130.26
_cell_angle_gamma 90.00
_space_group_name_H-M_alt 'C 1 2/c 1'
_space_group_IT_number 15
loop_
_space_group_symop_operation_xyz
'x,y,z'
'-x,-y,-z'
'-x,y,-z+1/2'
'x,-y,z+1/2'
'x+1/2,y+1/2,z'
'-x+1/2,-y+1/2,-z'
'-x+1/2,y+1/2,-z+1/2'
'x+1/2,-y+1/2,z+1/2'
loop_
_atom_site_label
_atom_site_type_symbol
_atom_site_fract_x
_atom_site_fract_y
_atom_site_fract_z
K1 K 0.186 0.050 0.278
Nb1 Nb 0.000 0.397 0.750
Cl1 Cl 0.000 0.086 0.750
Cl2 Cl 0.085 0.342 0.013
Cl3 Cl 0.117 0.366 0.375
Cl4 Cl 0.159 0.322 0.788
# - Raw formation energy: -1454 meV/atom

***

2.
# KNb2Cl (PBE-GGA, optimized geometry)
data_KNb2Cl
_cell_length_a 4.827
_cell_length_b 4.827
_cell_length_c 19.419
_cell_angle_alpha 90.00
_cell_angle_beta 90.00
_cell_angle_gamma 90.00
_space_group_name_H-M_alt 'I 41/a m d'
_space_group_IT_number 141
loop_
_space_group_symop_operation_xyz
'x,y,z'
'-x,-y,-z'
'-y+1/4,x+3/4,z+1/4'
'y+1/4,-x+3/4,-z+1/4'
'-x+1/2,-y,z+1/2'
'x+1/2,y,-z+1/2'
'y+1/4,-x+1/4,z+3/4'
'-y+1/4,x+1/4,-z+3/4'
'x,-y,-z'
'-x,y,z'
'-y+1/4,-x+1/4,-z+3/4'
'y+1/4,x+1/4,z+3/4'
'-x+1/2,y,-z+1/2'
'x+1/2,-y,z+1/2'
'y+1/4,x+3/4,-z+1/4'
'-y+1/4,-x+3/4,z+1/4'
'x+1/2,y+1/2,z+1/2'
'-x+1/2,-y+1/2,-z+1/2'
'-y+3/4,x+1/4,z+3/4'
'y+3/4,-x+1/4,-z+3/4'
'-x,-y+1/2,z'
'x,y+1/2,-z'
'y+3/4,-x+3/4,z+1/4'
'-y+3/4,x+3/4,-z+1/4'
'x+1/2,-y+1/2,-z+1/2'
'-x+1/2,y+1/2,z+1/2'
'-y+3/4,-x+3/4,-z+1/4'
'y+3/4,x+3/4,z+1/4'
'-x,y+1/2,-z'
'x,-y+1/2,z'
'y+3/4,x+1/4,-z+3/4'
'-y+3/4,-x+1/4,z+3/4'
loop_
_atom_site_label
_atom_site_type_symbol
_atom_site_fract_x
_atom_site_fract_y
_atom_site_fract_z
K1 K 0.000 0.250 0.375
Nb1 Nb 0.000 0.000 0.000
Cl1 Cl 0.000 0.250 0.875
# - Raw formation energy: 872 meV/atom
# - Energy above the most stable polymorph in this dataset: 0.0 meV per atom

***

3.
# K2Nb3Cl10 (PBE-GGA, optimized geometry)
data_K2Nb3Cl10
_cell_length_a 23.726
_cell_length_b 7.069
_cell_length_c 10.050
_cell_angle_alpha 90.00
_cell_angle_beta 111.84
_cell_angle_gamma 90.00
_space_group_name_H-M_alt 'C 1 2/m 1'
_space_group_IT_number 12
loop_
_space_group_symop_operation_xyz
'x,y,z'
'-x,-y,-z'
'-x,y,-z'
'x,-y,z'
'x+1/2,y+1/2,z'
'-x+1/2,-y+1/2,-z'
'-x+1/2,y+1/2,-z'
'x+1/2,-y+1/2,z'
loop_
_atom_site_label
_atom_site_type_symbol
_atom_site_fract_x
_atom_site_fract_y
_atom_site_fract_z
K1 K 0.129 0.000 0.226
K2 K 0.229 0.000 0.864
Nb1 Nb 0.000 0.295 0.500
Nb2 Nb 0.061 0.500 0.989
Nb3 Nb 0.178 0.500 0.528
Cl1 Cl 0.000 0.223 0.000
Cl2 Cl 0.013 0.000 0.669
Cl3 Cl 0.016 0.500 0.711
Cl4 Cl 0.112 0.247 0.555
Cl5 Cl 0.120 0.500 0.256
Cl6 Cl 0.138 0.263 0.978
Cl7 Cl 0.236 0.500 0.786
Cl8 Cl 0.250 0.250 0.500
# - Raw formation energy: -1278 meV/atom

***

4.
# KNb8Cl20 (PBE-GGA, optimized geometry)
data_KNb8Cl20
_cell_length_a 9.584
_cell_length_b 18.241
_cell_length_c 13.636
_cell_angle_alpha 90.00
_cell_angle_beta 90.02
_cell_angle_gamma 90.00
_space_group_name_H-M_alt 'P 1 m 1'
_space_group_IT_number 6
loop_
_space_group_symop_operation_xyz
'x,y,z'
'x,-y,z'
loop_
_atom_site_label
_atom_site_type_symbol
_atom_site_fract_x
_atom_site_fract_y
_atom_site_fract_z
K1 K 0.000 0.000 0.000
K2 K 0.000 0.000 0.492
K3 K 0.376 0.500 0.999
Nb1 Nb 0.044 0.280 0.138
Nb2 Nb 0.045 0.281 0.355
Nb3 Nb 0.080 0.500 0.745
Nb4 Nb 0.108 0.145 0.247
Nb5 Nb 0.269 0.357 0.246
Nb6 Nb 0.297 0.000 0.746
Nb7 Nb 0.331 0.221 0.137
Nb8 Nb 0.333 0.221 0.355
Nb9 Nb 0.510 0.081 0.855
Nb10 Nb 0.511 0.081 0.637
Nb11 Nb 0.646 0.500 0.745
Nb12 Nb 0.725 0.000 0.746
Nb13 Nb 0.864 0.418 0.636
Nb14 Nb 0.864 0.419 0.855
Cl1 Cl 0.003 0.000 0.247
Cl2 Cl 0.010 0.000 0.746
Cl3 Cl 0.113 0.409 0.121
Cl4 Cl 0.116 0.409 0.371
Cl5 Cl 0.119 0.406 0.621
Cl6 Cl 0.120 0.405 0.870
Cl7 Cl 0.187 0.250 0.993
Cl8 Cl 0.188 0.251 0.498
Cl9 Cl 0.254 0.095 0.622
Cl10 Cl 0.254 0.095 0.870
Cl11 Cl 0.261 0.091 0.122
Cl12 Cl 0.262 0.091 0.370
Cl13 Cl 0.364 0.500 0.754
Cl14 Cl 0.372 0.500 0.239
Cl15 Cl 0.451 0.341 0.372
Cl16 Cl 0.452 0.341 0.119
Cl17 Cl 0.509 0.190 0.746
Cl18 Cl 0.512 0.184 0.996
Cl19 Cl 0.513 0.184 0.496
Cl20 Cl 0.520 0.000 0.493
Cl21 Cl 0.520 0.000 0.999
Cl22 Cl 0.523 0.180 0.246
Cl23 Cl 0.608 0.404 0.871
Cl24 Cl 0.609 0.405 0.620
Cl25 Cl 0.767 0.096 0.620
Cl26 Cl 0.767 0.096 0.872
Cl27 Cl 0.853 0.320 0.246
Cl28 Cl 0.855 0.500 0.999
Cl29 Cl 0.857 0.500 0.493
Cl30 Cl 0.863 0.316 0.996
Cl31 Cl 0.863 0.317 0.496
Cl32 Cl 0.865 0.311 0.746
Cl33 Cl 0.924 0.160 0.120
Cl34 Cl 0.924 0.160 0.373
# - Raw formation energy: -1327 meV/atom

***

5.
# KNbCl4 (PBE-GGA, optimized geometry)
data_KNbCl4
_cell_length_a 9.344
_cell_length_b 12.964
_cell_length_c 6.729
_cell_angle_alpha 90.00
_cell_angle_beta 110.24
_cell_angle_gamma 90.00
_space_group_name_H-M_alt 'C 1 2/c 1'
_space_group_IT_number 15
loop_
_space_group_symop_operation_xyz
'x,y,z'
'-x,-y,-z'
'-x,y,-z+1/2'
'x,-y,z+1/2'
'x+1/2,y+1/2,z'
'-x+1/2,-y+1/2,-z'
'-x+1/2,y+1/2,-z+1/2'
'x+1/2,-y+1/2,z+1/2'
loop_
_atom_site_label
_atom_site_type_symbol
_atom_site_fract_x
_atom_site_fract_y
_atom_site_fract_z
K1 K 0.000 0.138 0.250
Nb1 Nb 0.000 0.500 0.250
Cl1 Cl 0.002 0.354 0.502
Cl2 Cl 0.222 0.003 0.616
# - Raw formation energy: -1405 meV/atom

***

6.
# KNbCl3 (PBE-GGA, optimized geometry)
data_KNbCl3
_cell_length_a 5.176
_cell_length_b 5.176
_cell_length_c 5.176
_cell_angle_alpha 90.00
_cell_angle_beta 90.00
_cell_angle_gamma 90.00
_space_group_name_H-M_alt 'P m -3 m'
_space_group_IT_number 221
_space_group_name_Hall '-P 4 2 3'
loop_
_atom_site_label
_atom_site_type_symbol
_atom_site_fract_x
_atom_site_fract_y
_atom_site_fract_z
K1 K 0.000 0.000 0.000
Nb1 Nb 0.500 0.500 0.500
Cl1 Cl 0.000 0.500 0.500
# - Raw formation energy: -1134 meV/atom
# - Energy above the most stable polymorph in this dataset: 233.2 meV per atom

***

no.,uncorrected energy (eV/atom)
1,-3.973
2,-4.899
3,-4.669
4,-5.416
5,-4.497
6,-4.475